Entry from Alexandria: a geometry-optimized ScNbNi2B structure (PBE).

```
ScNbNi2B
1.0
4.2498 0.0000 0.0000
0.0000 4.3190 0.0000
0.0000 0.0000 4.2498
Sc Ni Nb B
1 2 1 1
Direct
0.0000 0.0000 0.0000
0.0000 0.0000 0.5000
0.5000 0.0000 0.0000
0.5000 0.5000 0.5000
0.0000 0.5000 0.0000
```

As for the energy of formation: 1.23 eV per atom.

Entry from Alexandria: a geometry-optimized NbTcNi2B structure (PBE).

```
NbTcNi2B
1.0
-1.3394 0.9340 -3.5195
2.9080 -2.3801 -1.7383
-2.4153 -3.0342 0.1139
Ni Nb B Tc
2 1 1 1
Direct
0.0000 0.0000 0.5000
0.5000 0.0000 0.0000
0.5000 0.5000 0.5000
0.0000 0.0000 0.0000
0.0000 0.5000 0.0000
```

As for the energy of formation: -0.13 eV per atom.

Entry from Alexandria: a geometry-optimized Np2NbB6 structure (PBE).

```
Np2NbB6
1.0
2.8824 0.0000 0.8806
1.0605 5.7127 1.6864
-0.2669 -0.3922 6.0315
Np Nb B
2 1 6
Direct
0.3707 0.1293 0.1293
0.6293 0.8707 0.8707
0.5000 0.5000 0.5000
0.1936 0.5450 0.0678
0.8064 0.4550 0.9322
0.8064 0.9322 0.4550
0.0000 0.2371 0.7629
0.0000 0.7629 0.2371
0.1936 0.0678 0.5450
```

As for the energy of formation: 0.07 eV per atom.

Entry from Alexandria: a geometry-optimized NbB2O6 structure (PBE).

```
NbB2O6
1.0
4.8286 0.0439 0.0425
1.4612 6.2516 -0.0950
1.4612 0.1076 6.2513
Nb B O
2 4 12
Direct
0.2500 0.1354 0.8646
0.7500 0.8646 0.1354
0.2634 0.6312 0.7745
0.2366 0.2255 0.3688
0.7366 0.3688 0.2255
0.7634 0.7745 0.6312
0.5493 0.6438 0.6460
0.9507 0.3540 0.3562
0.4507 0.3562 0.3540
0.0493 0.6460 0.6438
0.7974 0.8721 0.4142
0.7026 0.5858 0.1279
0.2026 0.1279 0.5858
0.2974 0.4142 0.8721
0.1499 0.8072 0.9391
0.3501 0.0609 0.1928
0.8501 0.1928 0.0609
0.6499 0.9391 0.8072
```

For the energy relative to the elements, uncorrected, the calculation gives -2144 meV per atom.

Entry from Alexandria: a geometry-optimized NbBO2 structure (PBE).

```
NbBO2
1.0
-5.0640 3.6576 0.7269
-4.5997 2.8834 3.1748
-3.2851 4.9025 2.1737
Nb B O
1 1 2
Direct
0.0000 0.0000 0.0000
0.5000 0.5000 0.5000
0.8809 0.8809 0.8809
0.1191 0.1191 0.1191
```

For the energy relative to the elements, uncorrected, the calculation gives -953 meV per atom.

Entry from Alexandria: a geometry-optimized Nb3BO structure (PBE).

```
Nb3BO
1.0
4.1450 0.0000 0.0000
0.0000 4.1450 0.0000
0.0000 0.0000 4.1450
Nb B O
3 1 1
Direct
0.0000 0.5000 0.0000
0.0000 0.0000 0.5000
0.5000 0.0000 0.0000
0.5000 0.5000 0.5000
0.0000 0.0000 0.0000
```

For the energy relative to the elements, uncorrected, the calculation gives -182 meV per atom. As for the relative energy among the computed polymorphs: 0.000 eV per atom.